# LuHf3Sc PBE-GGA optimized geometry
data_LuHf3Sc
_chemical_formula_sum 'Lu2 Hf6 Sc2'
_space_group_name_H-M_alt 'P 1'
_space_group_IT_number 1
_space_group_name_Hall 'P 1'
_cell_length_a 7.8996
_cell_length_b 7.8996
_cell_length_c 6.2403
_cell_angle_alpha 90.00
_cell_angle_beta 90.00
_cell_angle_gamma 141.60
loop_
_atom_site_label
_atom_site_fract_x
_atom_site_fract_y
_atom_site_fract_z
Hf1 0.8059 0.1941 0.0042
Hf2 0.3701 0.6299 0.2500
Hf3 0.8059 0.1941 0.4958
Hf4 0.1941 0.8059 0.5042
Hf5 0.6299 0.3701 0.7500
Hf6 0.1941 0.8059 0.9958
Lu1 0.6105 0.3895 0.2500
Lu2 0.3895 0.6105 0.7500
Sc1 0.9890 0.0110 0.2500
Sc2 0.0110 0.9890 0.7500
# Formation enthalpy at 0 K in eV per atom: 0.135
# E_tot in eV per cell: -80.09
# Space group: Cmcm (63)



# Y2Zn3Pd4 PBE-GGA optimized geometry
data_Y2Zn3Pd4
_chemical_formula_sum 'Y4 Zn6 Pd8'
_space_group_name_H-M_alt 'P 1'
_space_group_IT_number 1
_space_group_name_Hall 'P 1'
_cell_length_a 8.0668
_cell_length_b 8.0668
_cell_length_c 7.6418
_cell_angle_alpha 90.00
_cell_angle_beta 90.00
_cell_angle_gamma 139.35
loop_
_atom_site_label
_atom_site_fract_x
_atom_site_fract_y
_atom_site_fract_z
Pd1 0.8225 0.1775 0.0236
Pd2 0.3066 0.1934 0.2500
Pd3 0.8066 0.6934 0.2500
Pd4 0.3225 0.6775 0.4764
Pd5 0.6775 0.3225 0.5236
Pd6 0.1934 0.3066 0.7500
Pd7 0.6934 0.8066 0.7500
Pd8 0.1775 0.8225 0.9764
Y1 0.3867 0.6133 0.0812
Y2 0.8867 0.1133 0.4188
Y3 0.1133 0.8867 0.5812
Y4 0.6133 0.3867 0.9188
Zn1 0.0000 0.0000 0.0000
Zn2 0.4773 0.0227 0.2500
Zn3 0.9773 0.5227 0.2500
Zn4 0.5000 0.5000 0.5000
Zn5 0.0227 0.4773 0.7500
Zn6 0.5227 0.9773 0.7500
# Formation enthalpy at 0 K in eV per atom: -0.739
# E_tot in eV per cell: -88.16
# Space group: Cmce (64)



# Tl2MoAs PBE-GGA optimized geometry
data_Tl2MoAs
_chemical_formula_sum 'Tl2 Mo1 As1'
_space_group_name_H-M_alt 'P 1'
_space_group_IT_number 1
_space_group_name_Hall 'P 1'
_cell_length_a 5.0238
_cell_length_b 5.0238
_cell_length_c 5.0238
_cell_angle_alpha 60.00
_cell_angle_beta 60.00
_cell_angle_gamma 60.00
loop_
_atom_site_label
_atom_site_fract_x
_atom_site_fract_y
_atom_site_fract_z
As1 0.7500 0.7500 0.7500
Mo1 0.5000 0.5000 0.5000
Tl1 0.0000 0.0000 0.0000
Tl2 0.2500 0.2500 0.2500
# E_tot in eV per cell: -17.03
# Space group: F-43m (216)



# Ta2BeSn PBE-GGA optimized geometry
data_Ta2BeSn
_chemical_formula_sum 'Ta2 Be1 Sn1'
_space_group_name_H-M_alt 'P 1'
_space_group_IT_number 1
_space_group_name_Hall 'P 1'
_cell_length_a 4.6008
_cell_length_b 4.6008
_cell_length_c 4.6008
_cell_angle_alpha 60.00
_cell_angle_beta 60.00
_cell_angle_gamma 60.00
loop_
_atom_site_label
_atom_site_fract_x
_atom_site_fract_y
_atom_site_fract_z
Be1 0.2500 0.2500 0.2500
Sn1 0.5000 0.5000 0.5000
Ta1 0.0000 0.0000 0.0000
Ta2 0.7500 0.7500 0.7500
# E_tot in eV per cell: -29.55
# Space group: F-43m (216)



# HoTh PBE-GGA optimized geometry
data_HoTh
_chemical_formula_sum 'Ho1 Th1'
_space_group_name_H-M_alt 'P 1'
_space_group_IT_number 1
_space_group_name_Hall 'P 1'
_cell_length_a 4.6082
_cell_length_b 4.6082
_cell_length_c 4.6082
_cell_angle_alpha 60.00
_cell_angle_beta 60.00
_cell_angle_gamma 60.00
loop_
_atom_site_label
_atom_site_fract_x
_atom_site_fract_y
_atom_site_fract_z
Ho1 0.0000 0.0000 0.0000
Th1 0.5000 0.5000 0.5000
# Formation enthalpy at 0 K in eV per atom: 0.949
# E_tot in eV per cell: -10.09
# Space group: Fm-3m (225)
# Offset from the most stable computed form in eV/atom: 0.889



# TbAsPtO PBE-GGA optimized geometry
data_TbAsPtO
_chemical_formula_sum 'Tb2 As2 Pt2 O2'
_space_group_name_H-M_alt 'P 1'
_space_group_IT_number 1
_space_group_name_Hall 'P 1'
_cell_length_a 5.9508
_cell_length_b 5.9508
_cell_length_c 4.5076
_cell_angle_alpha 90.00
_cell_angle_beta 90.00
_cell_angle_gamma 90.00
loop_
_atom_site_label
_atom_site_fract_x
_atom_site_fract_y
_atom_site_fract_z
As1 0.7500 0.7500 0.0137
As2 0.2500 0.2500 0.9863
O1 0.7500 0.2500 0.0000
O2 0.2500 0.7500 0.0000
Pt1 0.2500 0.2500 0.4866
Pt2 0.7500 0.7500 0.5134
Tb1 0.7500 0.2500 0.5000
Tb2 0.2500 0.7500 0.5000
# E_tot in eV per cell: -49.77
# Space group: P4/nmm (129)
# Offset from the most stable computed form in eV/atom: 0.647



# B2W7C2 PBE-GGA optimized geometry
data_B2W7C2
_chemical_formula_sum 'B4 W14 C4'
_space_group_name_H-M_alt 'P 1'
_space_group_IT_number 1
_space_group_name_Hall 'P 1'
_cell_length_a 7.4673
_cell_length_b 7.4673
_cell_length_c 7.4673
_cell_angle_alpha 60.00
_cell_angle_beta 60.00
_cell_angle_gamma 60.00
loop_
_atom_site_label
_atom_site_fract_x
_atom_site_fract_y
_atom_site_fract_z
B1 0.6250 0.6250 0.1250
B2 0.6250 0.1250 0.6250
B3 0.1250 0.6250 0.6250
B4 0.6250 0.6250 0.6250
C1 0.1250 0.1250 0.1250
C2 0.6250 0.1250 0.1250
C3 0.1250 0.6250 0.1250
C4 0.1250 0.1250 0.6250
W1 0.4697 0.0303 0.0303
W2 0.0303 0.4697 0.0303
W3 0.4697 0.4697 0.0303
W4 0.7803 0.2197 0.2197
W5 0.2197 0.7803 0.2197
W6 0.7803 0.7803 0.2197
W7 0.0303 0.0303 0.4697
W8 0.4697 0.0303 0.4697
W9 0.0303 0.4697 0.4697
W10 0.5000 0.5000 0.5000
W11 0.7500 0.7500 0.7500
W12 0.2197 0.2197 0.7803
W13 0.7803 0.2197 0.7803
W14 0.2197 0.7803 0.7803
# E_tot in eV per cell: -235.01
# Space group: Fd-3m (227)



# TaCo2 PBE-GGA optimized geometry
data_TaCo2
_chemical_formula_sum 'Ta8 Co16'
_space_group_name_H-M_alt 'P 1'
_space_group_IT_number 1
_space_group_name_Hall 'P 1'
_cell_length_a 4.8442
_cell_length_b 4.8442
_cell_length_c 15.5903
_cell_angle_alpha 90.00
_cell_angle_beta 90.00
_cell_angle_gamma 120.00
loop_
_atom_site_label
_atom_site_fract_x
_atom_site_fract_y
_atom_site_fract_z
Co1 0.5000 0.0000 0.0000
Co2 0.0000 0.5000 0.0000
Co3 0.5000 0.5000 0.0000
Co4 0.0000 0.0000 0.0804
Co5 0.1560 0.3120 0.2500
Co6 0.1560 0.8440 0.2500
Co7 0.6880 0.8440 0.2500
Co8 0.0000 0.0000 0.4196
Co9 0.5000 0.0000 0.5000
Co10 0.0000 0.5000 0.5000
Co11 0.5000 0.5000 0.5000
Co12 0.0000 0.0000 0.5804
Co13 0.3120 0.1560 0.7500
Co14 0.8440 0.1560 0.7500
Co15 0.8440 0.6880 0.7500
Co16 0.0000 0.0000 0.9196
Ta1 0.3333 0.6667 0.1270
Ta2 0.6667 0.3333 0.1561
Ta3 0.6667 0.3333 0.3439
Ta4 0.3333 0.6667 0.3730
Ta5 0.6667 0.3333 0.6270
Ta6 0.3333 0.6667 0.6561
Ta7 0.3333 0.6667 0.8439
Ta8 0.6667 0.3333 0.8730
# Formation enthalpy at 0 K in eV per atom: 0.004
# E_tot in eV per cell: -208.44
# Space group: P6_3/mmc (194)